Density functional theory data (PBEsol) for a relaxed Re2RhSe crystal.

Values from the calculation:
E: -9.35 eV per atom
V: 60.73 Å³/cell
Symmetry: No. 12
Total magnetization: 0.0 μB/f.u.

Lattice parameters (Å, degrees): 5.045 5.045 4.311 91.62 91.62 33.63
Fractional positions:
Re 0.218 0.218 0.229
Re 0.782 0.782 0.771
Rh 0.500 0.500 0.000
Se 0.000 0.000 0.500

***

Density functional theory data (PBEsol) for a relaxed IrBrN2 crystal.

Values from the calculation:
E: -5.55 eV per atom
V: 52.89 Å³/cell
Symmetry: No. 166
Total magnetization: 0.0 μB/f.u.

Lattice parameters (Å, degrees): 6.791 6.791 6.791 25.97 25.97 25.97
Fractional positions:
Ir 0.000 0.000 0.000
Br 0.500 0.500 0.500
N 0.094 0.094 0.094
N 0.906 0.906 0.906

***

Density functional theory data (PBEsol) for a relaxed SiHg2Sb crystal.

Values from the calculation:
E: -2.72 eV per atom
V: 95.77 Å³/cell
Symmetry: No. 8
Total magnetization: 0.0 μB/f.u.

Lattice parameters (Å, degrees): 3.925 3.925 7.511 104.83 104.83 60.04
Fractional positions:
Si 0.000 0.000 0.000
Hg 0.503 0.503 0.505
Hg 0.745 0.745 0.233
Sb 0.271 0.271 0.807